Here is a crystal of Zn2CdTc relaxed with PBEsol from Alexandria via LeMat-Bulk. Energies are from SCAN.

a b c (Å): 2.717 2.717 8.920
angles (deg): 90.00 90.00 110.96
Sites, in units of the cell vectors:
Zn1 0.000 0.000 0.000
Zn2 0.500 0.500 0.234
Cd1 0.500 0.500 0.732
Tc1 0.000 0.000 0.466

Results
Calculated volume: 61.5 Å³ per cell
DFT total energy: -1.681 Ry per atom
SG: Cmm2

---

Here is a crystal of YBeIn2 relaxed with PBEsol from Alexandria via LeMat-Bulk. Energies are from SCAN.

a b c (Å): 3.385 4.387 5.867
angles (deg): 90.00 94.67 90.00
Sites, in units of the cell vectors:
Y1 0.000 0.000 0.000
Be1 0.500 0.000 0.500
In1 0.433 0.500 0.736
In2 0.567 0.500 0.264

Results
Calculated volume: 86.8 Å³ per cell
DFT total energy: -1.827 Ry per atom
SG: P2/m

---

Here is a crystal of TcOs relaxed with PBEsol from Alexandria via LeMat-Bulk. Energies are from SCAN.

a b c (Å): 5.111 5.111 6.398
angles (deg): 103.15 103.15 30.96
Sites, in units of the cell vectors:
Tc1 0.000 0.000 0.000
Tc2 0.055 0.055 0.613
Tc3 0.387 0.387 0.278
Os1 0.332 0.332 0.667
Os2 0.666 0.666 0.334
Os3 0.722 0.722 0.945

Results
Calculated volume: 83.6 Å³ per cell
Relative energy among the computed polymorphs: 0.014 eV per atom
SG: Cm

---

Here is a crystal of TiTeH3 relaxed with PBEsol from Alexandria via LeMat-Bulk. Energies are from SCAN.

a b c (Å): 3.895 3.895 3.895
angles (deg): 90.00 90.00 90.00
Sites, in units of the cell vectors:
Ti1 0.000 0.000 0.000
Te1 0.500 0.500 0.500
H1 0.000 0.500 0.500
H2 0.500 0.000 0.500
H3 0.500 0.500 0.000

Results
Calculated volume: 59.1 Å³ per cell
DFT total energy: -0.860 Ry per atom
SG: Pm-3m

---

Here is a crystal of La3BiF relaxed with PBEsol from Alexandria via LeMat-Bulk. Energies are from SCAN.

a b c (Å): 6.117 6.117 6.117
angles (deg): 90.00 90.00 90.00
Sites, in units of the cell vectors:
La1 0.000 0.000 0.500
La2 0.000 0.500 0.000
La3 0.500 0.000 0.000
Bi1 0.000 0.000 0.000
F1 0.500 0.500 0.500

Results
Calculated volume: 228.9 Å³ per cell
Formation energy from raw total energies: -1.00 eV per formula unit
SG: Pm-3m

---

Here is a crystal of TbSbIr relaxed with PBEsol from Alexandria via LeMat-Bulk. Energies are from SCAN.

a b c (Å): 7.099 4.489 7.825
angles (deg): 90.00 90.00 90.00
Sites, in units of the cell vectors:
Tb1 0.011 0.250 0.193
Tb2 0.489 0.750 0.693
Tb3 0.511 0.250 0.307
Tb4 0.989 0.750 0.807
Sb1 0.178 0.250 0.588
Sb2 0.322 0.750 0.088
Sb3 0.678 0.250 0.912
Sb4 0.822 0.750 0.412
Ir1 0.208 0.750 0.412
Ir2 0.292 0.250 0.912
Ir3 0.708 0.750 0.088
Ir4 0.792 0.250 0.588

Results
Calculated volume: 249.3 Å³ per cell
Formation energy from raw total energies: -3.27 eV per formula unit
SG: Pnma

---

Here is a crystal of Tc5Ni24 relaxed with PBEsol from Alexandria via LeMat-Bulk. Energies are from SCAN.

a b c (Å): 7.438 7.438 7.438
angles (deg): 109.47 109.47 109.47
Sites, in units of the cell vectors:
Tc1 0.000 0.000 0.000
Tc2 0.000 0.000 0.644
Tc3 0.000 0.644 0.000
Tc4 0.356 0.356 0.356
Tc5 0.644 0.000 0.000
Ni1 0.000 0.190 0.378
Ni2 0.000 0.378 0.190
Ni3 0.000 0.410 0.684
Ni4 0.000 0.684 0.410
Ni5 0.188 0.810 0.810
Ni6 0.190 0.000 0.378
Ni7 0.190 0.378 0.000
Ni8 0.274 0.590 0.590
Ni9 0.316 0.316 0.726
Ni10 0.316 0.726 0.316
Ni11 0.378 0.000 0.190
Ni12 0.378 0.190 0.000
Ni13 0.410 0.000 0.684
Ni14 0.410 0.684 0.000
Ni15 0.590 0.274 0.590
Ni16 0.590 0.590 0.274
Ni17 0.622 0.622 0.812
Ni18 0.622 0.812 0.622
Ni19 0.684 0.000 0.410
Ni20 0.684 0.410 0.000
Ni21 0.726 0.316 0.316
Ni22 0.810 0.188 0.810
Ni23 0.810 0.810 0.188
Ni24 0.812 0.622 0.622

Results
Calculated volume: 316.7 Å³ per cell
DFT total energy: -1.422 Ry per atom
SG: I-43m

---

Here is a crystal of Sr2GdRuO6 relaxed with PBEsol from Alexandria via LeMat-Bulk. Energies are from SCAN.

a b c (Å): 5.760 5.835 9.957
angles (deg): 90.00 124.83 90.00
Sites, in units of the cell vectors:
Sr1 0.239 0.040 0.249
Sr2 0.239 0.460 0.749
Sr3 0.761 0.540 0.251
Sr4 0.761 0.960 0.751
Gd1 0.500 0.000 0.000
Gd2 0.500 0.500 0.500
Ru1 0.000 0.000 0.500
Ru2 0.000 0.500 0.000
O1 0.148 0.229 0.956
O2 0.148 0.271 0.456
O3 0.228 0.696 0.959
O4 0.228 0.804 0.459
O5 0.311 0.022 0.731
O6 0.311 0.478 0.231
O7 0.689 0.522 0.769
O8 0.689 0.978 0.269
O9 0.772 0.196 0.541
O10 0.772 0.304 0.041
O11 0.852 0.729 0.544
O12 0.852 0.771 0.044

Results
Calculated volume: 274.8 Å³ per cell
Relative energy among the computed polymorphs: 0.000 eV per atom
Formation energy from raw total energies: -26.99 eV per formula unit
SG: P2_1/c

---

Here is a crystal of SbAsSe2N relaxed with PBEsol from Alexandria via LeMat-Bulk. Energies are from SCAN.

a b c (Å): 5.270 5.270 5.363
angles (deg): 90.00 90.00 90.00
Sites, in units of the cell vectors:
Sb1 0.000 0.000 0.000
As1 0.000 0.000 0.500
Se1 0.000 0.500 0.000
Se2 0.500 0.000 0.000
N1 0.500 0.500 0.500

Results
Calculated volume: 149.0 Å³ per cell
Formation energy from raw total energies: 7.85 eV per formula unit
SG: P4/mmm

---

Here is a crystal of Ca2Tl2Cd relaxed with PBEsol from Alexandria via LeMat-Bulk. Energies are from SCAN.

a b c (Å): 8.211 8.211 4.102
angles (deg): 90.00 90.00 90.00
Sites, in units of the cell vectors:
Ca1 0.167 0.333 0.000
Ca2 0.333 0.833 0.000
Ca3 0.667 0.167 0.000
Ca4 0.833 0.667 0.000
Tl1 0.135 0.635 0.500
Tl2 0.365 0.135 0.500
Tl3 0.635 0.865 0.500
Tl4 0.865 0.365 0.500
Cd1 0.000 0.000 0.500
Cd2 0.500 0.500 0.500

Results
Calculated volume: 276.5 Å³ per cell
DFT total energy: -2.891 Ry per atom
SG: P4/mbm

---

Here is a crystal of RbSe2S2 relaxed with PBEsol from Alexandria via LeMat-Bulk. Energies are from SCAN.

a b c (Å): 8.780 8.780 3.896
angles (deg): 90.00 90.00 90.00
Sites, in units of the cell vectors:
Rb1 0.000 0.000 0.000
Rb2 0.500 0.500 0.000
Se1 0.150 0.350 0.000
Se2 0.350 0.850 0.000
Se3 0.650 0.150 0.000
Se4 0.850 0.650 0.000
S1 0.249 0.251 0.500
S2 0.251 0.751 0.500
S3 0.749 0.249 0.500
S4 0.751 0.749 0.500

Results
Calculated volume: 300.3 Å³ per cell
Formation energy from raw total energies: -1.43 eV per formula unit
SG: P4/mbm

---

Here is a crystal of ScCoOs2 relaxed with PBEsol from Alexandria via LeMat-Bulk. Energies are from SCAN.

a b c (Å): 5.520 5.520 5.520
angles (deg): 151.51 134.25 54.78
Sites, in units of the cell vectors:
Sc1 0.000 0.000 0.000
Co1 0.500 0.500 0.000
Os1 0.287 0.787 0.500
Os2 0.713 0.213 0.500

Results
Calculated volume: 57.1 Å³ per cell
Relative energy among the computed polymorphs: 0.000 eV per atom
SG: Immm